(1)
Material: K2CrRe
Method: DFT, PBE
State: optimized geometry

Cell and atoms, written as CIF:
```
data_K2CrRe
_chemical_formula_sum 'K2 Cr1 Re1'
_cell_length_a 2.8947
_cell_length_b 2.8947
_cell_length_c 12.1571
_cell_angle_alpha 90.00
_cell_angle_beta 90.00
_cell_angle_gamma 118.41
_space_group_name_H-M_alt 'P 1'
_space_group_IT_number 1
_space_group_name_Hall 'P 1'
loop_
_atom_site_label
_atom_site_type_symbol
_atom_site_fract_x
_atom_site_fract_y
_atom_site_fract_z
K1 K 0.0000 0.0000 0.2404
K2 K 0.0000 0.0000 0.7596
Cr1 Cr 0.5000 0.5000 0.5000
Re1 Re 0.5000 0.5000 0.0000
```

Properties
Density of states at the Fermi level in states/eV/f.u.: 3.70
Electronic total energy in eV per atom: -4.54
SG: Cmmm, No. 65

(2)
Material: Zr2ZnGe
Method: DFT, PBE
State: optimized geometry

Cell and atoms, written as CIF:
```
data_Zr2ZnGe
_chemical_formula_sum 'Zr4 Zn2 Ge2'
_cell_length_a 6.0174
_cell_length_b 6.0174
_cell_length_c 6.0174
_cell_angle_alpha 103.93
_cell_angle_beta 103.93
_cell_angle_gamma 121.24
_space_group_name_H-M_alt 'P 1'
_space_group_IT_number 1
_space_group_name_Hall 'P 1'
loop_
_atom_site_label
_atom_site_type_symbol
_atom_site_fract_x
_atom_site_fract_y
_atom_site_fract_z
Zr1 Zr 0.1201 0.6250 0.9951
Zr2 Zr 0.3750 0.3701 0.4951
Zr3 Zr 0.6299 0.1250 0.0049
Zr4 Zr 0.8750 0.8799 0.5049
Zn1 Zn 0.2500 0.7500 0.5000
Zn2 Zn 0.5000 0.5000 0.0000
Ge1 Ge 0.0000 0.0000 0.0000
Ge2 Ge 0.7500 0.2500 0.5000
```

Properties
Density of states at the Fermi level in states/eV/f.u.: 3.39
Electronic total energy in eV per atom: -5.94
SG: I-42d, No. 122

(3)
Material: Mg9In11Ni4
Method: DFT, PBE
State: optimized geometry

Cell and atoms, written as CIF:
```
data_Mg9In11Ni4
_chemical_formula_sum 'Mg9 In11 Ni4'
_cell_length_a 12.2845
_cell_length_b 12.2845
_cell_length_c 3.5217
_cell_angle_alpha 90.00
_cell_angle_beta 90.00
_cell_angle_gamma 111.71
_space_group_name_H-M_alt 'P 1'
_space_group_IT_number 1
_space_group_name_Hall 'P 1'
loop_
_atom_site_label
_atom_site_type_symbol
_atom_site_fract_x
_atom_site_fract_y
_atom_site_fract_z
Mg1 Mg 0.0000 0.0000 0.0000
Mg2 Mg 0.1282 0.6566 0.0000
Mg3 Mg 0.2781 0.4266 0.0000
Mg4 Mg 0.3434 0.8718 0.0000
Mg5 Mg 0.4266 0.2781 0.0000
Mg6 Mg 0.5734 0.7219 0.0000
Mg7 Mg 0.6566 0.1282 0.0000
Mg8 Mg 0.7219 0.5734 0.0000
Mg9 Mg 0.8718 0.3434 0.0000
In1 In 0.0836 0.4276 0.5000
In2 In 0.1253 0.8747 0.5000
In3 In 0.1858 0.1858 0.5000
In4 In 0.3385 0.6615 0.5000
In5 In 0.4276 0.0836 0.5000
In6 In 0.5000 0.5000 0.5000
In7 In 0.5724 0.9164 0.5000
In8 In 0.6615 0.3385 0.5000
In9 In 0.8142 0.8142 0.5000
In10 In 0.8747 0.1253 0.5000
In11 In 0.9164 0.5724 0.5000
Ni1 Ni 0.0507 0.2521 0.0000
Ni2 Ni 0.2521 0.0507 0.0000
Ni3 Ni 0.7479 0.9493 0.0000
Ni4 Ni 0.9493 0.7479 0.0000
```

Properties
Density of states at the Fermi level in states/eV/f.u.: 9.66
Electronic total energy in eV per atom: -2.91
SG: Cmmm, No. 65

(4)
Material: GaAgPtPb
Method: DFT, PBE
State: optimized geometry

Cell and atoms, written as CIF:
```
data_GaAgPtPb
_chemical_formula_sum 'Ga1 Ag1 Pt1 Pb1'
_cell_length_a 3.6417
_cell_length_b 4.9235
_cell_length_c 5.2068
_cell_angle_alpha 102.10
_cell_angle_beta 90.91
_cell_angle_gamma 111.43
_space_group_name_H-M_alt 'P 1'
_space_group_IT_number 1
_space_group_name_Hall 'P 1'
loop_
_atom_site_label
_atom_site_type_symbol
_atom_site_fract_x
_atom_site_fract_y
_atom_site_fract_z
Ga1 Ga 0.0000 0.0000 0.0000
Ag1 Ag 0.7346 0.4617 0.0977
Pt1 Pt 0.4842 0.9530 0.3358
Pb1 Pb 0.2276 0.4428 0.5977
```

Properties
Density of states at the Fermi level in states/eV/f.u.: 1.44
Electronic total energy in eV per atom: -3.98
SG: P1, No. 1

(5)
Material: Th6IrPt2Se3
Method: DFT, PBE
State: optimized geometry

Cell and atoms, written as CIF:
```
data_Th6IrPt2Se3
_chemical_formula_sum 'Th6 Ir1 Pt2 Se3'
_cell_length_a 9.6640
_cell_length_b 9.6640
_cell_length_c 8.7359
_cell_angle_alpha 107.06
_cell_angle_beta 107.06
_cell_angle_gamma 24.87
_space_group_name_H-M_alt 'P 1'
_space_group_IT_number 1
_space_group_name_Hall 'P 1'
loop_
_atom_site_label
_atom_site_type_symbol
_atom_site_fract_x
_atom_site_fract_y
_atom_site_fract_z
Th1 Th 0.0037 0.0037 0.2318
Th2 Th 0.3287 0.3287 0.4272
Th3 Th 0.3415 0.3415 0.9074
Th4 Th 0.6585 0.6585 0.0926
Th5 Th 0.6713 0.6713 0.5728
Th6 Th 0.9963 0.9963 0.7682
Ir1 Ir 0.5000 0.5000 0.0000
Pt1 Pt 0.1666 0.1666 0.3343
Pt2 Pt 0.8334 0.8334 0.6657
Se1 Se 0.1683 0.1683 0.8335
Se2 Se 0.5000 0.5000 0.5000
Se3 Se 0.8317 0.8317 0.1665
```

Properties
Formation energy without anion corrections in eV/atom: -1.3461
Density of states at the Fermi level in states/eV/f.u.: 8.16
SG: C2/m, No. 12

(6)
Material: CaAc2Pt
Method: DFT, PBE
State: optimized geometry

Cell and atoms, written as CIF:
```
data_CaAc2Pt
_chemical_formula_sum 'Ca2 Ac4 Pt2'
_cell_length_a 8.9888
_cell_length_b 8.9888
_cell_length_c 8.0167
_cell_angle_alpha 90.00
_cell_angle_beta 90.00
_cell_angle_gamma 151.87
_space_group_name_H-M_alt 'P 1'
_space_group_IT_number 1
_space_group_name_Hall 'P 1'
loop_
_atom_site_label
_atom_site_type_symbol
_atom_site_fract_x
_atom_site_fract_y
_atom_site_fract_z
Ca1 Ca 0.0110 0.9890 0.7500
Ca2 Ca 0.9890 0.0110 0.2500
Ac1 Ac 0.3427 0.6573 0.5033
Ac2 Ac 0.3427 0.6573 0.9967
Ac3 Ac 0.6573 0.3427 0.0033
Ac4 Ac 0.6573 0.3427 0.4967
Pt1 Pt 0.1940 0.8060 0.7500
Pt2 Pt 0.8060 0.1940 0.2500
```

Properties
Density of states at the Fermi level in states/eV/f.u.: 4.99
Electronic total energy in eV per atom: -4.64
SG: Cmcm, No. 63

(7)
Material: Na2TlGa
Method: DFT, PBE
State: optimized geometry

Cell and atoms, written as CIF:
```
data_Na2TlGa
_chemical_formula_sum 'Na2 Tl1 Ga1'
_cell_length_a 11.5918
_cell_length_b 11.5918
_cell_length_c 11.5918
_cell_angle_alpha 16.77
_cell_angle_beta 16.77
_cell_angle_gamma 16.77
_space_group_name_H-M_alt 'P 1'
_space_group_IT_number 1
_space_group_name_Hall 'P 1'
loop_
_atom_site_label
_atom_site_type_symbol
_atom_site_fract_x
_atom_site_fract_y
_atom_site_fract_z
Na1 Na 0.0867 0.0867 0.0867
Na2 Na 0.9133 0.9133 0.9133
Tl1 Tl 0.5000 0.5000 0.5000
Ga1 Ga 0.0000 0.0000 0.0000
```

Properties
Density of states at the Fermi level in states/eV/f.u.: 1.28
Electronic total energy in eV per atom: -1.91
SG: R-3m, No. 166

(8)
Material: AcTb5Pm2Y
Method: DFT, PBE
State: optimized geometry

Cell and atoms, written as CIF:
```
data_AcTb5Pm2Y
_chemical_formula_sum 'Ac2 Tb10 Pm4 Y2'
_cell_length_a 10.0133
_cell_length_b 10.0133
_cell_length_c 10.0133
_cell_angle_alpha 127.15
_cell_angle_beta 127.15
_cell_angle_gamma 78.01
_space_group_name_H-M_alt 'P 1'
_space_group_IT_number 1
_space_group_name_Hall 'P 1'
loop_
_atom_site_label
_atom_site_type_symbol
_atom_site_fract_x
_atom_site_fract_y
_atom_site_fract_z
Ac1 Ac 0.2500 0.2500 0.0000
Ac2 Ac 0.7500 0.7500 0.0000
Tb1 Tb 0.0000 0.0000 0.0000
Tb2 Tb 0.0747 0.5747 0.9130
Tb3 Tb 0.1617 0.0747 0.5000
Tb4 Tb 0.3383 0.8383 0.9130
Tb5 Tb 0.4253 0.3383 0.5000
Tb6 Tb 0.5000 0.5000 0.0000
Tb7 Tb 0.5747 0.6617 0.5000
Tb8 Tb 0.6617 0.1617 0.0870
Tb9 Tb 0.8383 0.9253 0.5000
Tb10 Tb 0.9253 0.4253 0.0870
Pm1 Pm 0.1159 0.3841 0.5000
Pm2 Pm 0.3841 0.8841 0.2682
Pm3 Pm 0.6159 0.1159 0.7318
Pm4 Pm 0.8841 0.6159 0.5000
Y1 Y 0.2500 0.7500 0.5000
Y2 Y 0.7500 0.2500 0.5000
```

Properties
Density of states at the Fermi level in states/eV/f.u.: 9.94
Electronic total energy in eV per atom: -4.55
SG: I4/mcm, No. 140

> The highest density of states at the Fermi level belongs to which entry?

AcTb5Pm2Y